No. 1
Below is an optimized crystal structure of Tb4SbH, with properties calculated at the PBE-GGA level.

Computed properties:
The value obtained for the energy is -55.30 eV/cell.

Cell lengths 5.999, 6.033, 8.921 Å; angles 82.87, 70.40, 89.98 degrees
Sites, in units of the cell vectors:
Tb1 0.063 0.294 0.098
Tb2 0.206 0.246 0.688
Tb3 0.340 0.794 0.098
Tb4 0.395 0.255 0.312
Tb5 0.605 0.745 0.688
Tb6 0.660 0.206 0.902
Tb7 0.794 0.754 0.312
Tb8 0.937 0.706 0.902
Sb1 0.217 0.750 0.500
Sb2 0.783 0.250 0.500
H1 0.000 0.000 0.000
H2 0.500 0.500 0.000


No. 2
Below is an optimized crystal structure of Cu3As, with properties calculated at the PBE-GGA level.

Computed properties:
The value obtained for the energy is -49.28 eV/cell.

Cell lengths 8.409, 8.409, 2.658 Å; angles 90.00, 90.00, 120.00 degrees
Sites, in units of the cell vectors:
Cu1 0.000 0.500 0.000
Cu2 0.167 0.333 0.333
Cu3 0.167 0.833 0.333
Cu4 0.333 0.167 0.667
Cu5 0.500 0.000 0.000
Cu6 0.500 0.500 0.000
Cu7 0.667 0.833 0.333
Cu8 0.833 0.167 0.667
Cu9 0.833 0.667 0.667
As1 0.000 0.000 0.000
As2 0.333 0.667 0.667
As3 0.667 0.333 0.333


No. 3
Below is an optimized crystal structure of K4BSe4, with properties calculated at the PBE-GGA level.

Computed properties:
As for the energy above the most stable polymorph in this dataset: 0.000 kcal/mol of atoms. The value obtained for the formation energy (no corrections) is -0.808 eV/atom.

Cell lengths 9.057, 9.057, 6.833 Å; angles 90.00, 90.00, 90.00 degrees
Sites, in units of the cell vectors:
K1 0.020 0.250 0.091
K2 0.250 0.020 0.591
K3 0.250 0.480 0.591
K4 0.480 0.250 0.091
K5 0.520 0.750 0.909
K6 0.750 0.520 0.409
K7 0.750 0.980 0.409
K8 0.980 0.750 0.909
B1 0.250 0.750 0.250
B2 0.750 0.250 0.750
Se1 0.051 0.750 0.411
Se2 0.250 0.551 0.089
Se3 0.250 0.949 0.089
Se4 0.449 0.750 0.411
Se5 0.551 0.250 0.589
Se6 0.750 0.051 0.911
Se7 0.750 0.449 0.911
Se8 0.949 0.250 0.589


No. 4
Below is an optimized crystal structure of KNiTe2, with properties calculated at the PBE-GGA level.

Computed properties:
The value obtained for the formation energy (no corrections) is 0.193 eV/atom.

Cell lengths 4.908, 4.908, 4.206 Å; angles 90.00, 90.00, 90.00 degrees
Sites, in units of the cell vectors:
K1 0.000 0.000 0.000
Ni1 0.500 0.500 0.000
Te1 0.000 0.500 0.500
Te2 0.500 0.000 0.500


No. 5
Below is an optimized crystal structure of SnPd2Pt, with properties calculated at the PBE-GGA level.

Computed properties:
The value obtained for the energy is -88.32 eV/cell.

Cell lengths 6.438, 6.438, 6.438 Å; angles 90.00, 90.00, 90.00 degrees
Sites, in units of the cell vectors:
Sn1 0.000 0.000 0.000
Sn2 0.000 0.500 0.500
Sn3 0.500 0.000 0.500
Sn4 0.500 0.500 0.000
Pd1 0.000 0.000 0.500
Pd2 0.000 0.500 0.000
Pd3 0.250 0.250 0.250
Pd4 0.250 0.750 0.750
Pd5 0.500 0.000 0.000
Pd6 0.500 0.500 0.500
Pd7 0.750 0.250 0.750
Pd8 0.750 0.750 0.250
Pt1 0.250 0.250 0.750
Pt2 0.250 0.750 0.250
Pt3 0.750 0.250 0.250
Pt4 0.750 0.750 0.750


| no. | size of the total moment (μB/cell) |
| --- | --- |
| 1 | 0.00 |
| 2 | 0.00 |
| 3 | 2.21 |
| 4 | 0.37 |
| 5 | 0.00 |